The following is a DFT calculation (GGA-PBE) of a geometry-optimized BaEuAg2 structure.

abc: 3.996 3.996 7.827
angles: 90.00 90.00 90.00
Positions (direct):
Ba 0.000 0.000 0.000
Eu 0.000 0.000 0.500
Ag 0.500 0.500 0.287
Ag 0.500 0.500 0.713

Calculated values
Uncorrected energy: -18.95 eV/f.u.
Formation energy: -0.26 eV per atom
Space-group type: P4/mmm (123)

The following is a DFT calculation (GGA-PBE) of a geometry-optimized BaEuAg2 structure.

abc: 5.635 5.635 5.635
angles: 60.00 60.00 60.00
Positions (direct):
Ba 0.000 0.000 0.000
Eu 0.500 0.500 0.500
Ag 0.250 0.250 0.250
Ag 0.750 0.750 0.750

Calculated values
Uncorrected energy: -18.82 eV/f.u.
Formation energy: -0.23 eV per atom
Space-group type: Fm-3m (225)

The following is a DFT calculation (GGA-PBE) of a geometry-optimized BaEu3Ag structure.

abc: 6.136 6.136 6.136
angles: 90.00 90.00 90.00
Positions (direct):
Ba 0.000 0.000 0.000
Eu 0.000 0.500 0.500
Eu 0.500 0.000 0.500
Eu 0.500 0.500 0.000
Ag 0.500 0.500 0.500

Calculated values
Uncorrected energy: -35.78 eV/f.u.
Formation energy: -0.04 eV per atom
Space-group type: Pm-3m (221)

The following is a DFT calculation (GGA-PBE) of a geometry-optimized Ba2EuAg structure.

abc: 6.145 6.145 4.566
angles: 90.00 90.00 90.00
Positions (direct):
Ba 0.000 0.500 0.000
Ba 0.500 0.000 0.000
Eu 0.000 0.000 0.500
Ag 0.500 0.500 0.500

Calculated values
Uncorrected energy: -16.78 eV/f.u.
Formation energy: 0.05 eV per atom
Space-group type: P4/mmm (123)

The following is a DFT calculation (GGA-PBE) of a geometry-optimized BaEuAg4 structure.

abc: 5.995 5.995 5.995
angles: 60.00 60.00 60.00
Positions (direct):
Ba 0.000 0.000 0.000
Eu 0.250 0.250 0.250
Ag 0.128 0.624 0.624
Ag 0.624 0.128 0.624
Ag 0.624 0.624 0.128
Ag 0.624 0.624 0.624

Calculated values
Uncorrected energy: -24.58 eV/f.u.
Formation energy: -0.16 eV per atom
Space-group type: F-43m (216)

The following is a DFT calculation (GGA-PBE) of a geometry-optimized Ba2EuAg structure.

abc: 12.563 12.563 12.563
angles: 20.13 20.13 20.13
Positions (direct):
Ba 0.109 0.109 0.109
Ba 0.891 0.891 0.891
Eu 0.000 0.000 0.000
Ag 0.500 0.500 0.500

Calculated values
Uncorrected energy: -16.58 eV/f.u.
Formation energy: 0.10 eV per atom
Space-group type: R-3m (166)

The following is a DFT calculation (GGA-PBE) of a geometry-optimized Ba2EuAg structure.

abc: 4.150 4.150 10.349
angles: 90.00 90.00 90.00
Positions (direct):
Ba 0.000 0.000 0.191
Ba 0.000 0.000 0.809
Eu 0.500 0.500 0.500
Ag 0.500 0.500 0.000

Calculated values
Uncorrected energy: -17.34 eV/f.u.
Formation energy: -0.09 eV per atom
Space-group type: P4/mmm (123)

The following is a DFT calculation (GGA-PBE) of a geometry-optimized BaEuAgHg structure.

abc: 5.692 5.692 5.692
angles: 60.00 60.00 60.00
Positions (direct):
Ba 0.000 0.000 0.000
Eu 0.500 0.500 0.500
Ag 0.750 0.750 0.750
Hg 0.250 0.250 0.250

Calculated values
Uncorrected energy: -16.80 eV/f.u.
Formation energy: -0.36 eV per atom
Space-group type: F-43m (216)

The following is a DFT calculation (GGA-PBE) of a geometry-optimized BaLiEuAg structure.

abc: 5.744 5.744 5.744
angles: 60.00 60.00 60.00
Positions (direct):
Ba 0.000 0.000 0.000
Li 0.250 0.250 0.250
Eu 0.500 0.500 0.500
Ag 0.750 0.750 0.750

Calculated values
Uncorrected energy: -17.27 eV/f.u.
Formation energy: -0.08 eV per atom
Space-group type: F-43m (216)

The following is a DFT calculation (GGA-PBE) of a geometry-optimized BaEuNiAg structure.

abc: 5.416 5.416 5.416
angles: 60.00 60.00 60.00
Positions (direct):
Ba 0.000 0.000 0.000
Eu 0.500 0.500 0.500
Ni 0.750 0.750 0.750
Ag 0.250 0.250 0.250

Calculated values
Uncorrected energy: -20.87 eV/f.u.
Formation energy: -0.01 eV per atom
Space-group type: F-43m (216)

The following is a DFT calculation (GGA-PBE) of a geometry-optimized BaEuAgPd structure.

abc: 5.475 5.475 5.475
angles: 60.00 60.00 60.00
Positions (direct):
Ba 0.000 0.000 0.000
Eu 0.500 0.500 0.500
Ag 0.250 0.250 0.250
Pd 0.750 0.750 0.750

Calculated values
Uncorrected energy: -21.73 eV/f.u.
Formation energy: -0.37 eV per atom
Space-group type: F-43m (216)

The following is a DFT calculation (GGA-PBE) of a geometry-optimized BaEuAgPt structure.

abc: 5.418 5.418 5.418
angles: 60.00 60.00 60.00
Positions (direct):
Ba 0.000 0.000 0.000
Eu 0.500 0.500 0.500
Ag 0.750 0.750 0.750
Pt 0.250 0.250 0.250

Calculated values
Uncorrected energy: -23.05 eV/f.u.
Formation energy: -0.49 eV per atom
Space-group type: F-43m (216)

The following is a DFT calculation (GGA-PBE) of a geometry-optimized BaEuSiAg structure.

abc: 5.519 5.519 5.519
angles: 60.00 60.00 60.00
Positions (direct):
Ba 0.000 0.000 0.000
Eu 0.500 0.500 0.500
Si 0.250 0.250 0.250
Ag 0.750 0.750 0.750

Calculated values
Uncorrected energy: -21.40 eV/f.u.
Space-group type: F-43m (216)
Formation energy (no corrections): -0.23 eV per atom

The following is a DFT calculation (GGA-PBE) of a geometry-optimized BaEuAgSn structure.

abc: 5.723 5.723 5.723
angles: 60.00 60.00 60.00
Positions (direct):
Ba 0.000 0.000 0.000
Eu 0.500 0.500 0.500
Ag 0.250 0.250 0.250
Sn 0.750 0.750 0.750

Calculated values
Uncorrected energy: -20.80 eV/f.u.
Formation energy: -0.44 eV per atom
Space-group type: F-43m (216)

The following is a DFT calculation (GGA-PBE) of a geometry-optimized BaEuTlAg structure.

abc: 5.753 5.753 5.753
angles: 60.00 60.00 60.00
Positions (direct):
Ba 0.000 0.000 0.000
Eu 0.500 0.500 0.500
Tl 0.750 0.750 0.750
Ag 0.250 0.250 0.250

Calculated values
Uncorrected energy: -18.54 eV/f.u.
Formation energy: -0.28 eV per atom
Space-group type: F-43m (216)

The following is a DFT calculation (GGA-PBE) of a geometry-optimized Ba3AgF7 structure.

abc: 7.434 7.434 8.640
angles: 90.00 90.00 70.90
Positions (direct):
Ba 0.000 0.000 0.000
Ba 0.000 0.000 0.500
Ba 0.090 0.477 0.750
Ba 0.477 0.090 0.250
Ba 0.523 0.910 0.750
Ba 0.910 0.523 0.250
Ag 0.500 0.500 0.000
Ag 0.500 0.500 0.500
F 0.105 0.163 0.250
F 0.128 0.608 0.034
F 0.128 0.608 0.466
F 0.163 0.105 0.750
F 0.392 0.872 0.034
F 0.392 0.872 0.466
F 0.393 0.607 0.750
F 0.607 0.393 0.250
F 0.608 0.128 0.534
F 0.608 0.128 0.966
F 0.837 0.895 0.250
F 0.872 0.392 0.534
F 0.872 0.392 0.966
F 0.895 0.837 0.750

Calculated values
Uncorrected energy: -57.69 eV/f.u.
Space-group type: Cmcm (63)
Formation energy (no corrections): -3.27 eV per atom

The following is a DFT calculation (GGA-PBE) of a geometry-optimized BaAg2F5 structure.

abc: 7.715 7.715 7.715
angles: 147.39 147.39 46.78
Positions (direct):
Ba 0.000 0.000 0.000
Ag 0.327 0.327 0.000
Ag 0.673 0.673 0.000
F 0.140 0.640 0.500
F 0.360 0.860 0.500
F 0.500 0.500 0.000
F 0.640 0.140 0.500
F 0.860 0.360 0.500

Calculated values
Uncorrected energy: -33.64 eV/f.u.
Space-group type: I4/mmm (139)
Formation energy (no corrections): -2.08 eV per atom

The following is a DFT calculation (GGA-PBE) of a geometry-optimized BaAgF3 structure.

abc: 4.584 4.584 4.584
angles: 90.00 90.00 90.00
Positions (direct):
Ba 0.000 0.000 0.000
Ag 0.500 0.500 0.500
F 0.000 0.500 0.500
F 0.500 0.000 0.500
F 0.500 0.500 0.000

Calculated values
Uncorrected energy: -22.26 eV/f.u.
Space-group type: Pm-3m (221)
Formation energy (no corrections): -2.37 eV per atom

The following is a DFT calculation (GGA-PBE) of a geometry-optimized Ba4AgF10 structure.

abc: 17.213 17.213 17.213
angles: 14.79 14.79 14.79
Positions (direct):
Ba 0.107 0.107 0.107
Ba 0.298 0.298 0.298
Ba 0.702 0.702 0.702
Ba 0.893 0.893 0.893
Ag 0.500 0.500 0.500
F 0.053 0.053 0.053
F 0.158 0.158 0.158
F 0.244 0.244 0.244
F 0.351 0.351 0.351
F 0.458 0.458 0.458
F 0.542 0.542 0.542
F 0.649 0.649 0.649
F 0.756 0.756 0.756
F 0.842 0.842 0.842
F 0.947 0.947 0.947

Calculated values
Uncorrected energy: -78.50 eV/f.u.
Space-group type: R-3m (166)
Formation energy (no corrections): -3.28 eV per atom

The following is a DFT calculation (GGA-PBE) of a geometry-optimized Ba4Ag2F structure.

abc: 9.796 9.796 9.796
angles: 147.78 147.78 46.20
Positions (direct):
Ba 0.000 0.500 0.500
Ba 0.188 0.188 0.000
Ba 0.500 0.000 0.500
Ba 0.812 0.812 0.000
Ag 0.376 0.376 0.000
Ag 0.624 0.624 0.000
F 0.000 0.000 0.000

Calculated values
Uncorrected energy: -21.35 eV/f.u.
Space-group type: I4/mmm (139)
Formation energy (no corrections): -0.87 eV per atom